Record 1
# LaPuCo5

A relaxed LaPuCo5 crystal (PBE-GGA, Alexandria via LeMat-Bulk).

```
LaPuCo5
1.0
4.926 0.000 0.000
0.000 8.439 0.000
0.000 0.000 10.510
La Pu Co
4 4 20
Direct
0.250 0.251 0.935
0.750 0.249 0.435
0.250 0.751 0.565
0.750 0.749 0.065
0.250 0.873 0.872
0.750 0.627 0.372
0.250 0.373 0.628
0.750 0.127 0.128
0.250 0.559 0.013
0.750 0.941 0.513
0.250 0.059 0.487
0.750 0.441 0.987
0.750 0.313 0.763
0.250 0.187 0.263
0.750 0.813 0.737
0.250 0.687 0.237
0.250 0.950 0.115
0.750 0.550 0.615
0.250 0.450 0.385
0.750 0.050 0.885
0.003 0.429 0.186
0.997 0.071 0.686
0.497 0.929 0.314
0.503 0.571 0.814
0.997 0.571 0.814
0.003 0.929 0.314
0.503 0.071 0.686
0.497 0.429 0.186
```

Summary:
Electronic total energy: -7.88 eV per atom
V: 15.6 Å³ per atom
Total moment: 0.47 μB per formula unit
Energy of formation: -0.4 eV/f.u.



Record 2
# La2PuCo9

A relaxed La2PuCo9 crystal (PBE-GGA, Alexandria via LeMat-Bulk).

```
La2PuCo9
1.0
-3.292 -1.310 -3.503
-0.478 -4.784 -1.305
-7.130 -3.054 4.299
La Pu Co
2 1 9
Direct
0.860 0.860 0.419
0.140 0.140 0.581
0.000 0.000 0.000
0.668 0.668 0.997
0.332 0.332 0.003
0.500 0.500 0.500
0.576 0.576 0.768
0.081 0.576 0.768
0.576 0.081 0.768
0.424 0.424 0.232
0.424 0.919 0.232
0.919 0.424 0.232
```

Summary:
Electronic total energy: -7.39 eV per atom
V: 15.0 Å³ per atom
Total moment: 4.72 μB per formula unit
Energy of formation: -0.6 eV/f.u.



Record 3
# LaPu2Co

A relaxed LaPu2Co crystal (PBE-GGA, Alexandria via LeMat-Bulk).

```
LaPu2Co
1.0
-2.526 -1.978 1.897
0.960 -1.686 3.183
-2.798 6.022 6.216
Pu Co La
2 1 1
Direct
0.724 0.724 0.827
0.276 0.276 0.173
0.000 0.000 0.000
0.500 0.500 0.500
```

Summary:
Distance to the lowest polymorph of the same formula: 32 meV per atom
Electronic total energy: -10.01 eV per atom
V: 26.6 Å³ per atom
Total moment: 10.87 μB per formula unit
Energy of formation: 0.6 eV/f.u.



Record 4
# La3PuCo

A relaxed La3PuCo crystal (PBE-GGA, Alexandria via LeMat-Bulk).

```
La3PuCo
1.0
-5.120 -0.962 1.633
-1.099 -2.324 -4.817
1.543 -4.846 1.986
La Co Pu
3 1 1
Direct
0.000 0.500 0.000
0.000 0.000 0.500
0.500 0.000 0.000
0.000 0.000 0.000
0.500 0.500 0.500
```

Summary:
Electronic total energy: -7.11 eV per atom
V: 32.5 Å³ per atom
Total moment: 7.61 μB per formula unit
Energy of formation: 0.7 eV/f.u.



Record 5
# La2PuCo2

A relaxed La2PuCo2 crystal (PBE-GGA, Alexandria via LeMat-Bulk).

```
La2PuCo2
1.0
-4.407 6.080 -1.450
-4.518 -3.993 4.705
2.203 1.778 2.949
La Pu Co
4 2 4
Direct
0.481 0.215 0.987
0.785 0.519 0.513
0.519 0.785 0.013
0.215 0.481 0.487
0.914 0.086 0.250
0.086 0.914 0.750
0.677 0.073 0.609
0.927 0.323 0.891
0.323 0.927 0.391
0.073 0.677 0.109
```

Summary:
Electronic total energy: -7.66 eV per atom
V: 23.2 Å³ per atom
Total moment: 4.41 μB per formula unit
Energy of formation: 0.1 eV/f.u.



Record 6
# LaPuCo2

A relaxed LaPuCo2 crystal (PBE-GGA, Alexandria via LeMat-Bulk).

```
LaPuCo2
1.0
3.352 0.000 0.000
0.000 3.352 0.000
0.000 0.000 6.992
La Co Pu
1 2 1
Direct
0.500 0.500 0.500
0.000 0.000 0.799
0.000 0.000 0.201
0.500 0.500 0.000
```

Summary:
Electronic total energy: -8.31 eV per atom
V: 19.6 Å³ per atom
Total moment: 3.89 μB per formula unit
Energy of formation: 0.2 eV/f.u.